No. 1
The following is a meta-GGA SCAN calculation of CsInSn at its PBEsol-relaxed geometry, from Alexandria.

Values from the calculation:
The total magnetization is 0.0 μB per formula unit. The calculation puts the energy of formation at -0.32 eV per atom. The space-group type is P4/nmm, No. 129.

Cell: 4.9003 4.9003 9.0629 Å, 90.00 90.00 90.00°
Closest atoms and distances in Å follow each position.
Sites, in units of the cell vectors:
In (0.0000, 0.0000, 0.0000)  4 Sn 3.02
In (0.5000, 0.5000, 0.0000)  4 Sn 3.02
Sn (0.0000, 0.5000, 0.1944)  4 In 3.02
Sn (0.5000, 0.0000, 0.8056)  4 In 3.02
Cs (0.5000, 0.0000, 0.3456)  5 Sn 3.73-4.17, 4 In 3.98
Cs (0.0000, 0.5000, 0.6544)  5 Sn 3.73-4.17, 4 In 3.98

=====

No. 2
The following is a meta-GGA SCAN calculation of CsSr3In at its PBEsol-relaxed geometry, from Alexandria.

Values from the calculation:
The total magnetization is 0.0 μB per formula unit. The calculation puts the energy of formation at 0.86 eV per atom. The space-group type is Pm-3m, No. 221.

Cell: 6.0026 6.0026 6.0026 Å, 90.00 90.00 90.00°
Closest atoms and distances in Å follow each position.
Sites, in units of the cell vectors:
Sr (0.0000, 0.5000, 0.0000)  2 Cs 3.00
Sr (0.5000, 0.0000, 0.0000)  2 Cs 3.00
Sr (0.0000, 0.0000, 0.5000)  2 Cs 3.00
Cs (0.0000, 0.0000, 0.0000)  6 Sr 3.00
In (0.5000, 0.5000, 0.5000)  12 Sr 4.24

=====

No. 3
The following is a meta-GGA SCAN calculation of CsTaIn3 at its PBEsol-relaxed geometry, from Alexandria.

Values from the calculation:
The total magnetization is 0.0 μB per formula unit. The calculation puts the energy of formation at 0.23 eV per atom. The space-group type is Pm-3m, No. 221.

Cell: 5.4857 5.4857 5.4857 Å, 90.00 90.00 90.00°
Closest atoms and distances in Å follow each position.
Sites, in units of the cell vectors:
In (0.0000, 0.0000, 0.5000)  2 Ta 2.74
In (0.0000, 0.5000, 0.0000)  2 Ta 2.74
In (0.5000, 0.0000, 0.0000)  2 Ta 2.74
Cs (0.5000, 0.5000, 0.5000)  12 In 3.88
Ta (0.0000, 0.0000, 0.0000)  6 In 2.74

=====

No. 4
The following is a meta-GGA SCAN calculation of CsTa3In at its PBEsol-relaxed geometry, from Alexandria.

Values from the calculation:
The total magnetization is 0.0 μB per formula unit. The calculation puts the energy of formation at 3.14 eV per atom. The space-group type is Pm-3m, No. 221.

Cell: 4.9803 4.9803 4.9803 Å, 90.00 90.00 90.00°
Closest atoms and distances in Å follow each position.
Sites, in units of the cell vectors:
In (0.5000, 0.5000, 0.5000)  12 Ta 3.52
Ta (0.0000, 0.0000, 0.5000)  2 Cs 2.49
Ta (0.0000, 0.5000, 0.0000)  2 Cs 2.49
Ta (0.5000, 0.0000, 0.0000)  2 Cs 2.49
Cs (0.0000, 0.0000, 0.0000)  6 Ta 2.49

=====

No. 5
The following is a meta-GGA SCAN calculation of CsInTe3 at its PBEsol-relaxed geometry, from Alexandria.

Values from the calculation:
The uncorrected formation energy is 812 meV per atom. The total magnetization is 0.0 μB per formula unit. The space-group type is Pm-3m, No. 221.

Cell: 6.1608 6.1608 6.1608 Å, 90.00 90.00 90.00°
Closest atoms and distances in Å follow each position.
Sites, in units of the cell vectors:
Cs (0.0000, 0.0000, 0.0000)  6 Te 3.08
Te (0.5000, 0.0000, 0.0000)  2 Cs 3.08
Te (0.0000, 0.0000, 0.5000)  2 Cs 3.08
Te (0.0000, 0.5000, 0.0000)  2 Cs 3.08
In (0.5000, 0.5000, 0.5000)  12 Te 4.36

=====

No. 6
The following is a meta-GGA SCAN calculation of Cs3TiIn at its PBEsol-relaxed geometry, from Alexandria.

Values from the calculation:
The total magnetization is 5.8 μB per formula unit. The calculation puts the energy of formation at 0.93 eV per atom. The space-group type is Pm-3m, No. 221.

Cell: 6.6515 6.6515 6.6515 Å, 90.00 90.00 90.00°
Closest atoms and distances in Å follow each position.
Sites, in units of the cell vectors:
Ti (0.0000, 0.0000, 0.0000)  6 Cs 3.33
In (0.5000, 0.5000, 0.5000)  12 Cs 4.70
Cs (0.0000, 0.0000, 0.5000)  2 Ti 3.33
Cs (0.0000, 0.5000, 0.0000)  2 Ti 3.33
Cs (0.5000, 0.0000, 0.0000)  2 Ti 3.33

=====

No. 7
The following is a meta-GGA SCAN calculation of CsTl2In2 at its PBEsol-relaxed geometry, from Alexandria.

Values from the calculation:
The energy above the lowest structure with this stoichiometry is 114 meV per atom. The total magnetization is 0.0 μB per formula unit. The calculation puts the energy of formation at -0.06 eV per atom. The space-group type is P4/mbm, No. 127.

Cell: 3.4623 9.4954 9.4954 Å, 90.00 90.00 90.00°
Closest atoms and distances in Å follow each position.
Sites, in units of the cell vectors:
Tl (0.0000, 0.8584, 0.6416)  6 In 3.22-3.35, 2 Tl 3.46
Tl (0.0000, 0.3584, 0.8584)  6 In 3.22-3.35, 2 Tl 3.46
Tl (0.0000, 0.1416, 0.3584)  6 In 3.22-3.35, 2 Tl 3.46
Tl (0.0000, 0.6416, 0.1416)  6 In 3.22-3.35, 2 Tl 3.46
In (0.5000, 0.6449, 0.8551)  6 Tl 3.22-3.35, 2 In 3.46
In (0.5000, 0.8551, 0.3551)  6 Tl 3.22-3.35, 2 In 3.46
In (0.5000, 0.1449, 0.6449)  6 Tl 3.22-3.35, 2 In 3.46
In (0.5000, 0.3551, 0.1449)  6 Tl 3.22-3.35, 2 In 3.46
Cs (0.0000, 0.5000, 0.5000)  2 Cs 3.46, 4 Tl 3.66
Cs (0.0000, 0.0000, 0.0000)  2 Cs 3.46, 4 Tl 3.66

=====

No. 8
The following is a meta-GGA SCAN calculation of CsTl2In2 at its PBEsol-relaxed geometry, from Alexandria.

Values from the calculation:
The energy above the lowest structure with this stoichiometry is 0 meV per atom. The total magnetization is 0.0 μB per formula unit. The calculation puts the energy of formation at -0.17 eV per atom. The space-group type is I4/mmm, No. 139.

Cell: 5.0693 5.0693 7.3118 Å, 110.28 110.28 90.00°
Closest atoms and distances in Å follow each position.
Sites, in units of the cell vectors:
Tl (0.3812, 0.3812, 0.7623)  1 Tl 3.03, 4 In 3.04
Tl (0.6188, 0.6188, 0.2377)  1 Tl 3.03, 4 In 3.04
In (0.2500, 0.7500, 0.5000)  4 Tl 3.04
In (0.7500, 0.2500, 0.5000)  4 Tl 3.04
Cs (0.0000, 0.0000, 0.0000)  8 Tl 3.89, 8 In 4.07